Material: NaSn2Pt
Method: DFT, SCAN
State: PBEsol geometry

a b c (Å): 6.8183 6.8183 6.8183
angles (deg): 90.00 90.00 90.00
With the nearest neighbours (Å) after each atom.
Space group Fm-3m (No. 225)
Unique sites:
Na 0.0000 0.0000 0.0000  8 Sn 2.95
Sn 0.2500 0.2500 0.2500  4 Na 2.95, 4 Pt 2.95
Pt 0.0000 0.0000 0.5000  8 Sn 2.95

Output
For the total energy, the calculation gives -36.803 eV per atom. The value obtained for the energy of formation from the pure elements is -0.24 eV per atom.